Material: K6Rb2Cd
Method: DFT, GGA-PBE
State: optimized geometry

Calculated values
Excess energy over the best structure of this formula in the dataset ... 0.0093 eV per atom

Cell and atoms, written as extended XYZ:
```
9
Lattice="4.802 -0.047 0.396 1.691 10.146 5.244 -0.029 0.051 12.620" Properties=species:S:1:pos:R:3 pbc="T T T"
K 2.274 8.452 12.762
K 4.190 1.699 5.499
K 2.143 2.937 1.662
K 1.709 4.989 6.934
K 4.755 5.162 11.326
K 4.350 7.163 3.978
Rb 3.852 8.745 8.186
Rb 2.612 1.406 10.074
Cd 0.000 0.000 0.000
```